No. 1
# Ho2Zr3Si4 (PBE-GGA, optimized geometry)
data_Ho2Zr3Si4
_space_group_name_H-M_alt 'P 1 21/c 1'
_space_group_IT_number 14
_space_group_name_Hall '-P 2ybc'
_cell_length_a 7.312
_cell_length_b 7.319
_cell_length_c 7.105
_cell_angle_alpha 90.00
_cell_angle_beta 108.07
_cell_angle_gamma 90.00
loop_
_atom_site_label
_atom_site_type_symbol
_atom_site_fract_x
_atom_site_fract_y
_atom_site_fract_z
Ho1 Ho 0.193 0.173 0.075
Zr1 Zr 0.252 0.681 0.249
Zr2 Zr 0.500 0.000 0.500
Si1 Si 0.081 0.531 0.870
Si2 Si 0.491 0.122 0.873
# **ΔE_f (raw)**: -0.88 eV/atom
# **Volume**: 361.5 Å³/cell
# **Calculated density**: 6.6 g/cm3
# **Total DFT energy (no corrections)**: -0.5262 Ry per atom

=====

No. 2
# ZnSiSb2Br (PBE-GGA, optimized geometry)
data_ZnSiSb2Br
_space_group_name_H-M_alt 'P 4/m m m'
_space_group_IT_number 123
_space_group_name_Hall '-P 4 2'
_cell_length_a 5.577
_cell_length_b 5.577
_cell_length_c 4.950
_cell_angle_alpha 90.00
_cell_angle_beta 90.00
_cell_angle_gamma 90.00
loop_
_atom_site_label
_atom_site_type_symbol
_atom_site_fract_x
_atom_site_fract_y
_atom_site_fract_z
Zn1 Zn 0.000 0.000 0.000
Si1 Si 0.500 0.500 0.000
Sb1 Sb 0.000 0.500 0.500
Br1 Br 0.000 0.000 0.500
# **ΔE_f (raw)**: 1.10 eV/atom
# **Volume**: 154.0 Å³/cell
# **E above lowest polymorph**: 554 meV/atom
# **Calculated density**: 4.5 g/cm3
# **Total DFT energy (no corrections)**: -0.1637 Ry per atom

=====

No. 3
# LaTbIn2Au4 (PBE-GGA, optimized geometry)
data_LaTbIn2Au4
_space_group_name_H-M_alt 'R -3 m'
_space_group_IT_number 166
_space_group_name_Hall '-R 3 2"'
_cell_length_a 5.0275
_cell_length_b 5.0275
_cell_length_c 24.8236
_cell_angle_alpha 90.00
_cell_angle_beta 90.00
_cell_angle_gamma 120.00
loop_
_atom_site_label
_atom_site_type_symbol
_atom_site_fract_x
_atom_site_fract_y
_atom_site_fract_z
La1 La 0.0000 0.0000 0.0000
Tb1 Tb 0.0000 0.0000 0.5000
In1 In 0.0000 0.0000 0.2503
Au1 Au 0.0000 0.0000 0.1302
Au2 Au 0.0000 0.0000 0.3807
# **Volume**: 543.4 Å³/cell
# **Energy relative to the elements**: -699 meV per atom
# **Calculated density**: 12.1 g/cm3
# **Total DFT energy (no corrections)**: -0.3099 Ry per atom

=====

No. 4
# Tm6Sn2Sb (PBE-GGA, optimized geometry)
data_Tm6Sn2Sb
_space_group_name_H-M_alt 'P 1 21/c 1'
_space_group_IT_number 14
_space_group_name_Hall '-P 2ybc'
_cell_length_a 6.154
_cell_length_b 8.517
_cell_length_c 11.526
_cell_angle_alpha 90.00
_cell_angle_beta 121.51
_cell_angle_gamma 90.00
loop_
_atom_site_label
_atom_site_type_symbol
_atom_site_fract_x
_atom_site_fract_y
_atom_site_fract_z
Tm1 Tm 0.061 0.165 0.440
Tm2 Tm 0.335 0.685 0.438
Tm3 Tm 0.406 0.034 0.290
Sn1 Sn 0.173 0.123 0.751
Sb1 Sb 0.000 0.000 0.000
# **ΔE_f (raw)**: -0.50 eV/atom
# **Volume**: 515.0 Å³/cell
# **Calculated density**: 8.9 g/cm3
# **Total DFT energy (no corrections)**: -0.3547 Ry per atom

=====

No. 5
# NiAu2 (PBE-GGA, optimized geometry)
data_NiAu2
_space_group_name_H-M_alt 'C m c m'
_space_group_IT_number 63
_space_group_name_Hall '-C 2c 2'
_cell_length_a 2.840
_cell_length_b 14.155
_cell_length_c 4.726
_cell_angle_alpha 90.00
_cell_angle_beta 90.00
_cell_angle_gamma 90.00
loop_
_atom_site_label
_atom_site_type_symbol
_atom_site_fract_x
_atom_site_fract_y
_atom_site_fract_z
Ni1 Ni 0.000 0.105 0.250
Au1 Au 0.000 0.232 0.750
Au2 Au 0.000 0.443 0.250
# **Volume**: 190.0 Å³/cell
# **Energy relative to the elements**: 129 meV per atom
# **Calculated density**: 15.8 g/cm3
# **Total DFT energy (no corrections)**: -0.2928 Ry per atom

=====

No. 6
# Cs5Tl2Pd (PBE-GGA, optimized geometry)
data_Cs5Tl2Pd
_space_group_name_H-M_alt 'C m c m'
_space_group_IT_number 63
_space_group_name_Hall '-C 2c 2'
_cell_length_a 4.782
_cell_length_b 19.328
_cell_length_c 23.299
_cell_angle_alpha 90.00
_cell_angle_beta 90.00
_cell_angle_gamma 90.00
loop_
_atom_site_label
_atom_site_type_symbol
_atom_site_fract_x
_atom_site_fract_y
_atom_site_fract_z
Cs1 Cs 0.000 0.065 0.250
Cs2 Cs 0.000 0.142 0.059
Cs3 Cs 0.000 0.369 0.144
Tl1 Tl 0.000 0.281 0.681
Pd1 Pd 0.000 0.234 0.250
# **Volume**: 2153.5 Å³/cell
# **Energy relative to the elements**: -65 meV per atom
# **Calculated density**: 3.6 g/cm3
# **Total DFT energy (no corrections)**: -0.1352 Ry per atom

=====

No. 7
# K2TlCr (PBE-GGA, optimized geometry)
data_K2TlCr
_space_group_name_H-M_alt 'P 4/m m m'
_space_group_IT_number 123
_space_group_name_Hall '-P 4 2'
_cell_length_a 3.850
_cell_length_b 3.850
_cell_length_c 10.111
_cell_angle_alpha 90.00
_cell_angle_beta 90.00
_cell_angle_gamma 90.00
loop_
_atom_site_label
_atom_site_type_symbol
_atom_site_fract_x
_atom_site_fract_y
_atom_site_fract_z
K1 K 0.000 0.000 0.247
Tl1 Tl 0.500 0.500 0.500
Cr1 Cr 0.500 0.500 0.000
# **Volume**: 149.9 Å³/cell
# **E above lowest polymorph**: 211 meV/atom
# **Energy relative to the elements**: 634 meV per atom
# **Calculated density**: 3.7 g/cm3
# **Total DFT energy (no corrections)**: -0.2140 Ry per atom

=====

No. 8
# LiCe2Zr (PBE-GGA, optimized geometry)
data_LiCe2Zr
_space_group_name_H-M_alt 'R -3 m'
_space_group_IT_number 166
_space_group_name_Hall '-R 3 2"'
_cell_length_a 3.0997
_cell_length_b 3.0997
_cell_length_c 36.1519
_cell_angle_alpha 90.00
_cell_angle_beta 90.00
_cell_angle_gamma 120.00
loop_
_atom_site_label
_atom_site_type_symbol
_atom_site_fract_x
_atom_site_fract_y
_atom_site_fract_z
Li1 Li 0.0000 0.0000 0.0000
Ce1 Ce 0.0000 0.0000 0.0876
Zr1 Zr 0.0000 0.0000 0.5000
# **Volume**: 300.8 Å³/cell
# **E above lowest polymorph**: 40 meV/atom
# **Energy relative to the elements**: 179 meV per atom
# **Calculated density**: 6.3 g/cm3
# **Total DFT energy (no corrections)**: -0.3971 Ry per atom

=====

No. 9
# PaInCoPd (PBE-GGA, optimized geometry)
data_PaInCoPd
_space_group_name_H-M_alt 'F -4 3 m'
_space_group_IT_number 216
_space_group_name_Hall 'F -4 2 3'
_cell_length_a 6.696
_cell_length_b 6.696
_cell_length_c 6.696
_cell_angle_alpha 90.00
_cell_angle_beta 90.00
_cell_angle_gamma 90.00
loop_
_atom_site_label
_atom_site_type_symbol
_atom_site_fract_x
_atom_site_fract_y
_atom_site_fract_z
Pa1 Pa 0.000 0.000 0.000
In1 In 0.000 0.000 0.500
Co1 Co 0.250 0.250 0.750
Pd1 Pd 0.250 0.250 0.250
# **Volume**: 300.3 Å³/cell
# **Energy relative to the elements**: -294 meV per atom
# **Calculated density**: 11.3 g/cm3
# **Total DFT energy (no corrections)**: -0.4724 Ry per atom

=====

No. 10
# K2SiP2 (PBE-GGA, optimized geometry)
data_K2SiP2
_space_group_name_H-M_alt 'I b a m'
_space_group_IT_number 72
_space_group_name_Hall '-I 2 2c'
_cell_length_a 6.917
_cell_length_b 13.014
_cell_length_c 6.144
_cell_angle_alpha 90.00
_cell_angle_beta 90.00
_cell_angle_gamma 90.00
loop_
_atom_site_label
_atom_site_type_symbol
_atom_site_fract_x
_atom_site_fract_y
_atom_site_fract_z
K1 K 0.161 0.146 0.000
Si1 Si 0.000 0.500 0.250
P1 P 0.164 0.404 0.000
# **ΔE_f (raw)**: -0.49 eV/atom
# **Volume**: 553.1 Å³/cell
# **E above lowest polymorph**: 0 meV/atom
# **Calculated density**: 2.0 g/cm3
# **Total DFT energy (no corrections)**: -0.3071 Ry per atom

=====

No. 11
# LuZrHg2 (PBE-GGA, optimized geometry)
data_LuZrHg2
_space_group_name_H-M_alt 'P 4/m m m'
_space_group_IT_number 123
_space_group_name_Hall '-P 4 2'
_cell_length_a 3.562
_cell_length_b 3.562
_cell_length_c 7.244
_cell_angle_alpha 90.00
_cell_angle_beta 90.00
_cell_angle_gamma 90.00
loop_
_atom_site_label
_atom_site_type_symbol
_atom_site_fract_x
_atom_site_fract_y
_atom_site_fract_z
Lu1 Lu 0.000 0.000 0.000
Zr1 Zr 0.000 0.000 0.500
Hg1 Hg 0.500 0.500 0.252
# **Volume**: 91.9 Å³/cell
# **E above lowest polymorph**: 0 meV/atom
# **Energy relative to the elements**: -276 meV per atom
# **Calculated density**: 12.1 g/cm3
# **Total DFT energy (no corrections)**: -0.2715 Ry per atom

=====

No. 12
# Pb5Cl (PBE-GGA, optimized geometry)
data_Pb5Cl
_space_group_name_H-M_alt 'A m m 2'
_space_group_IT_number 38
_space_group_name_Hall 'A 2 -2'
_cell_length_a 5.738
_cell_length_b 3.544
_cell_length_c 18.056
_cell_angle_alpha 90.00
_cell_angle_beta 90.00
_cell_angle_gamma 90.00
loop_
_atom_site_label
_atom_site_type_symbol
_atom_site_fract_x
_atom_site_fract_y
_atom_site_fract_z
Pb1 Pb 0.000 0.000 0.000
Pb2 Pb 0.000 0.000 0.329
Pb3 Pb 0.000 0.000 0.663
Pb4 Pb 0.500 0.000 0.484
Pb5 Pb 0.500 0.000 0.819
Cl1 Cl 0.500 0.000 0.158
# **ΔE_f (raw)**: -0.16 eV/atom
# **Volume**: 367.2 Å³/cell
# **E above lowest polymorph**: 18 meV/atom
# **Calculated density**: 9.7 g/cm3
# **Total DFT energy (no corrections)**: -0.2612 Ry per atom